Li2LaZn2Au2: relaxed, GGA-PBE.

Space-group type: No. 12
DOS at the Fermi energy (states/eV/f.u.): 3.01
Electronic total energy (Ry/atom): -0.225

Cell lengths 4.5488, 4.5426, 8.1621 Å; angles 106.59, 90.00, 120.05 degrees
Fractional positions:
Li1 0.1410 0.2819 0.4205
Li2 0.8590 0.7181 0.5795
La1 0.0000 0.0000 0.0000
Zn1 0.5686 0.1371 0.7071
Zn2 0.4314 0.8629 0.2929
Au1 0.7483 0.4967 0.2432
Au2 0.2517 0.5033 0.7568